[1]
This record from OQMD describes a relaxed Y3Sc3BiSbOs crystal. The functional is PBE-GGA.

## Properties
SG: P-6, No. 174

Cell: 7.911 7.911 4.181 Å, 90.00 90.00 120.00°
Atoms (fractional coordinates):
Y  0.061  0.722  0.000
Y  0.278  0.339  0.000
Y  0.661  0.939  0.000
Sc  0.443  0.108  0.500
Sc  0.665  0.557  0.500
Sc  0.892  0.335  0.500
Bi  0.000  0.000  0.500
Sb  0.333  0.667  0.500
Os  0.667  0.333  0.000



[2]
This record from OQMD describes a relaxed LaPrFe2Bi4 crystal. The functional is PBE-GGA.

## Properties
SG: P4mm, No. 99

Cell: 4.533 4.533 10.298 Å, 90.00 90.00 90.00°
Atoms (fractional coordinates):
La  0.000  0.000  0.000
Pr  0.500  0.500  0.515
Fe  0.000  0.500  0.757
Fe  0.500  0.000  0.757
Bi  0.000  0.000  0.603
Bi  0.000  0.500  0.260
Bi  0.500  0.000  0.260
Bi  0.500  0.500  0.911



[3]
This record from OQMD describes a relaxed RbLuPO crystal. The functional is PBE-GGA.

## Properties
Distance to the lowest polymorph of the same formula: 0.0 meV/atom
SG: Pmc2_1, No. 26

Cell: 3.387 7.771 7.820 Å, 90.00 90.00 90.00°
Atoms (fractional coordinates):
Rb  0.000  0.054  0.000
Rb  0.000  0.946  0.500
Lu  0.500  0.381  0.361
Lu  0.500  0.619  0.861
P  0.500  0.307  0.705
P  0.500  0.693  0.205
O  0.000  0.252  0.290
O  0.000  0.748  0.790



[4]
This record from OQMD describes a relaxed CsHfPO crystal. The functional is PBE-GGA.

## Properties
Distance to the lowest polymorph of the same formula: 677.4 meV/atom
SG: P4/nmm, No. 129

Cell: 4.534 4.534 9.958 Å, 90.00 90.00 90.00°
Atoms (fractional coordinates):
Cs  0.250  0.750  0.000
Cs  0.750  0.250  0.000
Hf  0.250  0.250  0.474
Hf  0.750  0.750  0.526
P  0.250  0.250  0.241
P  0.750  0.750  0.759
O  0.250  0.750  0.500
O  0.750  0.250  0.500



[5]
This record from OQMD describes a relaxed Rb2TlZnBr6 crystal. The functional is PBE-GGA.

## Properties
SG: Fm-3m, No. 225

Cell: 7.878 7.878 7.878 Å, 60.00 60.00 60.00°
Atoms (fractional coordinates):
Rb  0.250  0.250  0.250
Rb  0.750  0.750  0.750
Tl  0.000  0.000  0.000
Zn  0.500  0.500  0.500
Br  0.264  0.264  0.736
Br  0.264  0.736  0.264
Br  0.264  0.736  0.736
Br  0.736  0.264  0.264
Br  0.736  0.264  0.736
Br  0.736  0.736  0.264



[6]
This record from OQMD describes a relaxed DyHo2Al3CuGe2 crystal. The functional is PBE-GGA.

## Properties
SG: Amm2, No. 38

Cell: 4.159 6.996 6.996 Å, 120.01 90.00 90.00°
Atoms (fractional coordinates):
Dy  0.000  0.000  0.000
Ho  0.000  0.194  0.597
Ho  0.000  0.597  0.194
Al  0.500  0.365  0.365
Al  0.500  0.597  0.829
Al  0.500  0.829  0.597
Cu  0.000  0.597  0.597
Ge  0.500  0.264  0.930
Ge  0.500  0.930  0.264



Ordered electronic total energy results: -0.523; -0.414; -0.403; -0.459; -0.195; -0.359; unit Ry per atom.